12
Lattice="2.380 -7.218 0.000 2.380 7.218 0.000 0.000 0.000 7.379" Properties=species:S:1:pos:R:3 comment="Li5DyIn6 PBE optimized geometry" formation_enthalpy_0k_ev_per_atom=-0.31 space_group=Cmmm dft_energy_ev_per_fu=-34.4 pbc="T T T"
Li 0.000 0.000 0.000
Li 2.380 2.473 0.000
Li 2.380 2.439 3.689
Li 2.380 -2.439 3.689
Li 2.380 -2.473 0.000
Dy 0.000 0.000 3.689
In 2.380 4.737 1.762
In 2.380 4.737 5.617
In 2.380 0.000 1.616
In 2.380 0.000 5.762
In 2.380 -4.737 1.762
In 2.380 -4.737 5.617